# 1
# Ba2Br PBE optimized geometry
# Theoretical density: 3.80 Mg/m³
# Relative energy among the computed polymorphs: 0.18 eV/f.u.
# Formation energy without anion corrections: -0.95 eV/atom
# M_tot: 0.26 μB/f.u.
# E_tot: -8.38 eV/f.u.
data_Ba2Br
_space_group_name_H-M_alt 'C 1 m 1'
_space_group_IT_number 8
_cell_length_a 15.427
_cell_length_b 4.383
_cell_length_c 9.171
_cell_angle_alpha 90.00
_cell_angle_beta 93.01
_cell_angle_gamma 90.00
loop_
_space_group_symop_operation_xyz
'x,y,z'
'x,-y,z'
'x+1/2,y+1/2,z'
'x+1/2,-y+1/2,z'
loop_
_atom_site_label
_atom_site_fract_x
_atom_site_fract_y
_atom_site_fract_z
Ba1 0.000 0.000 0.000
Ba2 0.001 0.000 0.500
Ba3 0.219 0.500 0.775
Ba4 0.282 0.000 0.227
Br1 0.153 0.500 0.410
Br2 0.350 0.000 0.594

***

# 2
# Ba2Br PBE optimized geometry
# Theoretical density: 3.84 Mg/m³
# Relative energy among the computed polymorphs: 0.17 eV/f.u.
# Formation energy without anion corrections: -0.96 eV/atom
# M_tot: 0.69 μB/f.u.
# E_tot: -8.40 eV/f.u.
data_Ba2Br
_space_group_name_H-M_alt 'C 1 2/m 1'
_space_group_IT_number 12
_cell_length_a 16.688
_cell_length_b 4.382
_cell_length_c 9.510
_cell_angle_alpha 90.00
_cell_angle_beta 118.24
_cell_angle_gamma 90.00
loop_
_space_group_symop_operation_xyz
'x,y,z'
'-x,-y,-z'
'-x,y,-z'
'x,-y,z'
'x+1/2,y+1/2,z'
'-x+1/2,-y+1/2,-z'
'-x+1/2,y+1/2,-z'
'x+1/2,-y+1/2,z'
loop_
_atom_site_label
_atom_site_fract_x
_atom_site_fract_y
_atom_site_fract_z
Ba1 0.011 0.000 0.296
Ba2 0.228 0.500 0.718
Br1 0.134 0.500 0.983

***

# 3
# Ba3Br PBE optimized geometry
# Theoretical density: 3.86 Mg/m³
# Relative energy among the computed polymorphs: 0.32 eV/f.u.
# Formation energy without anion corrections: -0.68 eV/atom
# M_tot: 0.00 μB/f.u.
# E_tot: -10.14 eV/f.u.
data_Ba3Br
_space_group_name_H-M_alt 'P n m a'
_space_group_IT_number 62
_cell_length_a 8.244
_cell_length_b 12.787
_cell_length_c 8.038
_cell_angle_alpha 90.00
_cell_angle_beta 90.00
_cell_angle_gamma 90.00
loop_
_space_group_symop_operation_xyz
'x,y,z'
'-x,-y,-z'
'-x+1/2,-y,z+1/2'
'x+1/2,y,-z+1/2'
'x+1/2,-y+1/2,-z+1/2'
'-x+1/2,y+1/2,z+1/2'
'-x,y+1/2,-z'
'x,-y+1/2,z'
loop_
_atom_site_label
_atom_site_fract_x
_atom_site_fract_y
_atom_site_fract_z
Ba1 0.049 0.250 0.187
Ba2 0.217 0.066 0.638
Br1 0.126 0.750 0.404

***

# 4
# Ba3Br2 PBE optimized geometry
# Theoretical density: 4.10 Mg/m³
# Relative energy among the computed polymorphs: 0.00 eV/f.u.
# Formation energy without anion corrections: -1.22 eV/atom
# M_tot: 2.18 μB/f.u.
# E_tot: -15.22 eV/f.u.
data_Ba3Br2
_space_group_name_H-M_alt 'R -3 c'
_space_group_IT_number 167
_space_group_name_Hall '-R 3 2"c'
_cell_length_a 8.3122
_cell_length_b 8.3122
_cell_length_c 23.2074
_cell_angle_alpha 90.00
_cell_angle_beta 90.00
_cell_angle_gamma 120.00
loop_
_atom_site_label
_atom_site_fract_x
_atom_site_fract_y
_atom_site_fract_z
Ba1 0.0000 0.3427 0.2500
Br1 0.0000 0.0000 0.1679

***

# 5
# Ba5Br PBE optimized geometry
# Theoretical density: 3.39 Mg/m³
# Relative energy among the computed polymorphs: 0.56 eV/f.u.
# Formation energy without anion corrections: -0.34 eV/atom
# M_tot: 0.79 μB/f.u.
# E_tot: -13.34 eV/f.u.
data_Ba5Br
_space_group_name_H-M_alt 'A m m 2'
_space_group_IT_number 38
_cell_length_a 7.090
_cell_length_b 4.538
_cell_length_c 23.334
_cell_angle_alpha 90.00
_cell_angle_beta 90.00
_cell_angle_gamma 90.00
loop_
_space_group_symop_operation_xyz
'x,y,z'
'-x,-y,z'
'-x,y,z'
'x,-y,z'
'x,y+1/2,z+1/2'
'-x,-y+1/2,z+1/2'
'-x,y+1/2,z+1/2'
'x,-y+1/2,z+1/2'
loop_
_atom_site_label
_atom_site_fract_x
_atom_site_fract_y
_atom_site_fract_z
Ba1 0.000 0.000 0.000
Ba2 0.000 0.000 0.331
Ba3 0.000 0.000 0.665
Ba4 0.500 0.000 0.220
Ba5 0.500 0.000 0.888
Br1 0.500 0.000 0.619

***

# 6
# Ba2Br PBE optimized geometry
# Theoretical density: 4.04 Mg/m³
# Relative energy among the computed polymorphs: 0.31 eV/f.u.
# Formation energy without anion corrections: -0.91 eV/atom
# M_tot: 2.39 μB/f.u.
# E_tot: -8.25 eV/f.u.
data_Ba2Br
_space_group_name_H-M_alt 'P a -3'
_space_group_IT_number 205
_space_group_name_Hall '-P 2ac 2ab 3'
_cell_length_a 8.354
_cell_length_b 8.354
_cell_length_c 8.354
_cell_angle_alpha 90.00
_cell_angle_beta 90.00
_cell_angle_gamma 90.00
loop_
_atom_site_label
_atom_site_fract_x
_atom_site_fract_y
_atom_site_fract_z
Ba1 0.145 0.145 0.145
Br1 0.000 0.000 0.500

***

Look up the relative energy among the computed polymorphs of the fourth one. 0.00 eV/f.u.